This record from the Alexandria database describes a geometry-optimized Dy5TlCu2 structure. The functional is PBE-GGA.

```
Dy5TlCu2
1.0
-5.6569 -0.9593 -5.4464
4.8486 -4.6075 -4.2245
-1.7866 -2.4541 8.0333
Dy Tl Cu
10 2 4
Cartesian
-0.7815 -5.4901 -0.0102 Dy
-0.2357 -6.0023 -6.2323 Dy
0.0000 0.0000 0.0000 Dy
-0.4042 -2.7834 -4.8355 Dy
-2.3592 -2.0185 4.5948 Dy
-4.2730 -3.3674 1.0746 Dy
1.1323 -4.1413 3.5100 Dy
1.6781 -4.6535 -2.7122 Dy
-3.7272 -3.8795 -5.1476 Dy
-1.8134 -2.5307 -1.6274 Dy
-1.4995 -5.4021 -3.2365 Tl
-1.0954 -2.6187 1.5989 Tl
1.0644 -1.8315 -2.2704 Cu
-2.9331 -1.2002 -3.9750 Cu
2.1248 -4.3665 -5.6959 Cu
-1.8728 -3.7352 -7.4005 Cu
```

Results
SG   No. 140
VASP energy   -70.5 eV per cell
Magnetic moment   0.0 Bohr magnetons per cell
Calculated formation energy   -0.2092 eV/atom